A plane-wave DFT calculation with GGA-PBE was carried out for an optimized crystal structure of CdCo4Os.

a b c (Å): 4.7847 4.7847 4.7847
angles (deg): 60.00 60.00 60.00
Last column: nearest neighbours and their distance in Å.
Atoms (fractional coordinates):
Cd 0.0000 0.0000 0.0000  12 Co 2.81, 4 Os 2.93
Co 0.3753 0.3753 0.3753  6 Co 2.39-2.40
Co 0.3753 0.3753 0.8741  6 Co 2.39-2.40
Co 0.3753 0.8741 0.3753  6 Co 2.39-2.40
Co 0.8741 0.3753 0.3753  6 Co 2.39-2.40
Os 0.7500 0.7500 0.7500  12 Co 2.80, 4 Cd 2.93

Computed properties:
**Energy**: -6.46 eV/atom